Below is a geometry-optimized SnRu3Se structure, with properties calculated at the GGA-PBE level.

Geometry as POSCAR:
```
SnRu3Se
1.0
4.930 0.000 0.000
0.000 4.930 0.000
0.000 0.000 4.930
Sn Se Ru
1 1 3
direct
0.000 0.000 0.000
0.500 0.500 0.500
0.500 0.000 0.000
0.000 0.500 0.000
0.000 0.000 0.500
```

Output
ΔE to the lowest computed polymorph: 1.036 eV/atom

=====

Below is a geometry-optimized SnRu3Se structure, with properties calculated at the GGA-PBE level.

Geometry as POSCAR:
```
SnRu3Se
1.0
-3.781 2.535 -0.044
-1.222 -1.890 -3.958
-2.222 -3.275 2.250
Sn Se Ru
1 1 3
direct
0.500 0.500 0.500
0.000 0.000 0.000
0.000 0.000 0.500
0.000 0.500 0.000
0.500 0.000 0.000
```

Output
ΔE to the lowest computed polymorph: 0.000 eV/atom

=====

Below is a geometry-optimized SnRuSe structure, with properties calculated at the GGA-PBE level.

Geometry as POSCAR:
```
SnRuSe
1.0
6.182 -0.001 -0.490
0.001 6.447 0.001
-0.467 -0.001 6.095
Se Sn Ru
4 4 4
direct
0.072 0.150 0.145
0.219 0.679 0.927
0.719 0.821 0.927
0.572 0.350 0.145
0.835 0.866 0.393
0.335 0.634 0.393
0.883 0.362 0.602
0.383 0.138 0.603
0.938 0.511 0.157
0.050 0.001 0.776
0.438 0.989 0.157
0.550 0.499 0.776
```

=====

no.,ΔE_f (raw) (eV per atom),total magnetization (μB per atom)
1,1.84,1.151
2,0.81,0.000
3,-0.13,0.000